# PaTl2GeS5

An optimized crystal structure of PaTl2GeS5 (PBE-GGA, Alexandria). Values from VASP.

The structure in Quantum ESPRESSO input format:
```
&SYSTEM
  ibrav = 0, nat = 18, ntyp = 4
/
ATOMIC_SPECIES
Pa 231.04 Pa.upf
Tl 204.38 Tl.upf
Ge 72.64 Ge.upf
S 32.06 S.upf
ATOMIC_POSITIONS crystal
Pa 0.205 0.795 0.500
Pa 0.795 0.205 0.000
Tl 0.112 0.888 0.141
Tl 0.121 0.879 0.801
Tl 0.879 0.121 0.301
Tl 0.888 0.112 0.641
Ge 0.442 0.558 0.902
Ge 0.558 0.442 0.402
S 0.050 0.950 0.484
S 0.294 0.706 0.120
S 0.311 0.689 0.869
S 0.343 0.657 0.478
S 0.497 0.503 0.759
S 0.503 0.497 0.259
S 0.657 0.343 0.978
S 0.689 0.311 0.369
S 0.706 0.294 0.620
S 0.950 0.050 0.984
CELL_PARAMETERS angstrom
2.107 -9.029 0.000
2.107 9.029 0.000
0.000 0.000 13.701
```

Calculated values
The volume comes out at 521.32 Å³ per cell. Its raw formation energy is -0.793 eV per atom. Its density of states at the Fermi level is 4.3 states/eV per cell.



# PaZnGeS

An optimized crystal structure of PaZnGeS (PBE-GGA, Alexandria). Values from VASP.

The structure in Quantum ESPRESSO input format:
```
&SYSTEM
  ibrav = 0, nat = 8, ntyp = 4
/
ATOMIC_SPECIES
Pa 231.04 Pa.upf
Zn 65.41 Zn.upf
Ge 72.64 Ge.upf
S 32.06 S.upf
ATOMIC_POSITIONS crystal
Pa 0.250 0.250 0.203
Pa 0.750 0.750 0.797
Zn 0.250 0.750 0.500
Zn 0.750 0.250 0.500
Ge 0.250 0.250 0.680
Ge 0.750 0.750 0.320
S 0.250 0.750 0.000
S 0.750 0.250 0.000
CELL_PARAMETERS angstrom
4.242 0.000 0.000
0.000 4.242 0.000
0.000 0.000 8.631
```

Calculated values
The volume comes out at 155.32 Å³ per cell. Its raw formation energy is -0.726 eV per atom. Its density of states at the Fermi level is 8.9 states/eV per cell.



# Pa8Ge2Sb

An optimized crystal structure of Pa8Ge2Sb (PBE-GGA, Alexandria). Values from VASP.

The structure in Quantum ESPRESSO input format:
```
&SYSTEM
  ibrav = 0, nat = 11, ntyp = 3
/
ATOMIC_SPECIES
Pa 231.04 Pa.upf
Ge 72.64 Ge.upf
Sb 121.76 Sb.upf
ATOMIC_POSITIONS crystal
Pa 0.078 0.298 0.576
Pa 0.244 0.756 0.000
Pa 0.298 0.078 0.576
Pa 0.404 0.404 0.151
Pa 0.596 0.596 0.849
Pa 0.702 0.922 0.424
Pa 0.756 0.244 0.000
Pa 0.922 0.702 0.424
Ge 0.312 0.688 0.500
Ge 0.688 0.312 0.500
Sb 0.000 0.000 0.000
CELL_PARAMETERS angstrom
4.167 -6.438 0.000
4.167 6.438 0.000
-2.037 0.000 5.117
```

Calculated values
The volume comes out at 274.55 Å³ per cell. Its raw formation energy is -0.116 eV per atom. Its density of states at the Fermi level is 21.8 states/eV per cell.